A geometry-optimized LaBr2Cl structure. Source: Alexandria, functional GGA-PBEsol.

Cell lengths 4.3151, 7.0368, 7.0368 Å; angles 48.79, 90.00, 90.00 degrees
Closest atoms and distances in Å follow each position.
Positions (direct):
La 0.0000 0.0000 0.0000  2 Cl 2.77, 4 Br 2.91-2.93
Br 0.0000 0.5016 0.5016  2 La 2.91
Br 0.5000 0.8455 0.8455  2 La 2.93
Cl 0.5000 0.1350 0.1350  2 La 2.77

Values from the calculation:
Formation energy (no corrections) = -2.02 eV per atom
Uncorrected energy = -19.2 eV per cell
V = 40.2 Å³ per atom

***

A geometry-optimized LaBrCl2 structure. Source: Alexandria, functional GGA-PBEsol.

Cell lengths 5.5239, 4.3118, 7.1568 Å; angles 90.00, 112.62, 90.00 degrees
Closest atoms and distances in Å follow each position.
Positions (direct):
La 0.0000 0.0000 0.0000  4 Cl 2.76-2.77, 2 Br 2.93
Br 0.8501 0.5000 0.6999  2 La 2.93
Cl 0.1311 0.5000 0.2628  2 La 2.77
Cl 0.5030 0.0000 0.0060  2 La 2.76

Values from the calculation:
Formation energy (no corrections) = -2.15 eV per atom
Uncorrected energy = -19.8 eV per cell
V = 39.3 Å³ per atom

***

A geometry-optimized LaBrCl4 structure. Source: Alexandria, functional GGA-PBEsol.

Cell lengths 5.6880, 5.6880, 5.6880 Å; angles 60.00, 60.00, 60.00 degrees
Closest atoms and distances in Å follow each position.
Positions (direct):
La 0.0000 0.0000 0.0000  12 Cl 3.33, 4 Br 3.48
Br 0.2500 0.2500 0.2500  12 Cl 3.34, 4 La 3.48
Cl 0.1230 0.6257 0.6257  6 Cl 2.83-2.86
Cl 0.6257 0.1230 0.6257  6 Cl 2.83-2.86
Cl 0.6257 0.6257 0.1230  6 Cl 2.83-2.86
Cl 0.6257 0.6257 0.6257  6 Cl 2.83-2.86

Values from the calculation:
Formation energy (no corrections) = -0.89 eV per atom
Uncorrected energy = -20.6 eV per cell
V = 21.7 Å³ per atom

***

Which of these has the lowest formation energy (no corrections)?
LaBrCl2

***

Which of these has the lowest V?
LaBrCl4

***

What is the formula in the third record?
LaBrCl4

***

What is the formula in the third record?
LaBrCl4